1.
First-principles (PBE-GGA) data for a relaxed structure of Sm8Cu2Ir, as listed in Alexandria.

Computed properties:
ΔE_f ... -4.669 kcal/mol of atoms
Mass density ... 8.4 g cm⁻³
Spin magnetization ... 0.000 μB per cell
Total DFT energy (no corrections) ... -5.1849 eV/atom
DOS(E_F) ... 21.41 states/eV/cell

CIF file:
```
data_Sm8Cu2Ir
_chemical_formula_sum 'Sm16 Cu4 Ir2'
_symmetry_space_group_name_H-M 'C 1 2/m 1'
_symmetry_Int_Tables_number 12
_cell_length_a 17.6777
_cell_length_b 5.1625
_cell_length_c 6.8169
_cell_angle_alpha 90.00
_cell_angle_beta 104.66
_cell_angle_gamma 90.00
loop_
_symmetry_equiv_pos_as_xyz
'x,y,z'
'-x,-y,-z'
'-x,y,-z'
'x,-y,z'
'x+1/2,y+1/2,z'
'-x+1/2,-y+1/2,-z'
'-x+1/2,y+1/2,-z'
'x+1/2,-y+1/2,z'
loop_
_atom_site_label
_atom_site_fract_x
_atom_site_fract_y
_atom_site_fract_z
Sm1 0.0328 0.0000 0.2915
Sm2 0.0885 0.5000 0.9404
Sm3 0.1657 0.5000 0.4780
Sm4 0.2003 0.0000 0.8333
Cu1 0.1866 0.0000 0.2340
Ir1 0.0000 0.5000 0.5000
```

---

2.
First-principles (PBE-GGA) data for a relaxed structure of Sm8CuIr5, as listed in Alexandria.

Computed properties:
ΔE_f ... -13.553 kcal/mol of atoms
Mass density ... 10.8 g cm⁻³
Spin magnetization ... 0.000 μB per cell
Total DFT energy (no corrections) ... -6.7416 eV/atom
DOS(E_F) ... 7.37 states/eV/cell

CIF file:
```
data_Sm8CuIr5
_chemical_formula_sum 'Sm16 Cu2 Ir10'
_symmetry_space_group_name_H-M 'I -4'
_symmetry_Int_Tables_number 82
_cell_length_a 8.8136
_cell_length_b 8.8136
_cell_length_c 8.7931
_cell_angle_alpha 90.00
_cell_angle_beta 90.00
_cell_angle_gamma 90.00
loop_
_symmetry_equiv_pos_as_xyz
'x,y,z'
'y,-x,-z'
'-x,-y,z'
'-y,x,-z'
'x+1/2,y+1/2,z+1/2'
'y+1/2,-x+1/2,-z+1/2'
'-x+1/2,-y+1/2,z+1/2'
'-y+1/2,x+1/2,-z+1/2'
loop_
_atom_site_label
_atom_site_fract_x
_atom_site_fract_y
_atom_site_fract_z
Sm1 0.0623 0.1910 0.3201
Sm2 0.0646 0.3174 0.9373
Cu1 0.0000 0.0000 0.0000
Ir1 0.0000 0.5000 0.2500
Ir2 0.1302 0.2530 0.6283
```

---

3.
First-principles (PBE-GGA) data for a relaxed structure of Sm3Cu3Ir, as listed in Alexandria.

Computed properties:
ΔE_f ... -7.158 kcal/mol of atoms
Mass density ... 9.6 g cm⁻³
Spin magnetization ... 0.000 μB per cell
Total DFT energy (no corrections) ... -5.3542 eV/atom
DOS(E_F) ... 19.54 states/eV/cell

CIF file:
```
data_Sm3Cu3Ir
_chemical_formula_sum 'Sm12 Cu12 Ir4'
_symmetry_space_group_name_H-M 'C m c m'
_symmetry_Int_Tables_number 63
_symmetry_space_group_name_Hall '-C 2c 2'
_cell_length_a 4.5887
_cell_length_b 10.0851
_cell_length_c 12.5283
_cell_angle_alpha 90.00
_cell_angle_beta 90.00
_cell_angle_gamma 90.00
loop_
_atom_site_label
_atom_site_fract_x
_atom_site_fract_y
_atom_site_fract_z
Sm1 0.0000 0.0209 0.2500
Sm2 0.0000 0.2668 0.5995
Cu1 0.0000 0.3099 0.2500
Cu2 0.0000 0.4421 0.0886
Ir1 0.0000 0.0000 0.0000
```

---

4.
First-principles (PBE-GGA) data for a relaxed structure of Sm2CuIr, as listed in Alexandria.

Computed properties:
ΔE_f ... -10.413 kcal/mol of atoms
Mass density ... 10.6 g cm⁻³
Spin magnetization ... 0.000 μB per cell
Total DFT energy (no corrections) ... -6.0504 eV/atom
DOS(E_F) ... 2.84 states/eV/cell

CIF file:
```
data_Sm2CuIr
_chemical_formula_sum 'Sm2 Cu1 Ir1'
_symmetry_space_group_name_H-M 'P 4/m m m'
_symmetry_Int_Tables_number 123
_symmetry_space_group_name_Hall '-P 4 2'
_cell_length_a 4.9331
_cell_length_b 4.9331
_cell_length_c 3.5805
_cell_angle_alpha 90.00
_cell_angle_beta 90.00
_cell_angle_gamma 90.00
loop_
_atom_site_label
_atom_site_fract_x
_atom_site_fract_y
_atom_site_fract_z
Sm1 0.0000 0.5000 0.0000
Cu1 0.0000 0.0000 0.5000
Ir1 0.5000 0.5000 0.5000
```

---

5.
First-principles (PBE-GGA) data for a relaxed structure of Sm2CuIr2, as listed in Alexandria.

Computed properties:
Energy above the most stable polymorph in this dataset ... 23 meV per atom
ΔE_f ... -13.094 kcal/mol of atoms
Mass density ... 12.0 g cm⁻³
Spin magnetization ... 0.000 μB per cell
Total DFT energy (no corrections) ... -6.8191 eV/atom
DOS(E_F) ... 9.90 states/eV/cell

CIF file:
```
data_Sm2CuIr2
_chemical_formula_sum 'Sm8 Cu4 Ir8'
_symmetry_space_group_name_H-M 'C 1 2/c 1'
_symmetry_Int_Tables_number 15
_cell_length_a 9.8704
_cell_length_b 5.4873
_cell_length_c 7.9637
_cell_angle_alpha 90.00
_cell_angle_beta 106.09
_cell_angle_gamma 90.00
loop_
_symmetry_equiv_pos_as_xyz
'x,y,z'
'-x,-y,-z'
'-x,y,-z+1/2'
'x,-y,z+1/2'
'x+1/2,y+1/2,z'
'-x+1/2,-y+1/2,-z'
'-x+1/2,y+1/2,-z+1/2'
'x+1/2,-y+1/2,z+1/2'
loop_
_atom_site_label
_atom_site_fract_x
_atom_site_fract_y
_atom_site_fract_z
Sm1 0.1469 0.1471 0.1497
Cu1 0.0000 0.3546 0.7500
Ir1 0.1335 0.3569 0.5120
```

---

6.
First-principles (PBE-GGA) data for a relaxed structure of SmCuIr, as listed in Alexandria.

Computed properties:
Energy above the most stable polymorph in this dataset ... 305 meV per atom
ΔE_f ... -4.625 kcal/mol of atoms
Mass density ... 11.9 g cm⁻³
Spin magnetization ... 0.000 μB per cell
Total DFT energy (no corrections) ... -6.0927 eV/atom
DOS(E_F) ... 4.69 states/eV/cell

CIF file:
```
data_SmCuIr
_chemical_formula_sum 'Sm2 Cu2 Ir2'
_symmetry_space_group_name_H-M 'I 4 m m'
_symmetry_Int_Tables_number 107
_symmetry_space_group_name_Hall 'I 4 -2'
_cell_length_a 3.4630
_cell_length_b 3.4630
_cell_length_c 9.4334
_cell_angle_alpha 90.00
_cell_angle_beta 90.00
_cell_angle_gamma 90.00
loop_
_atom_site_label
_atom_site_fract_x
_atom_site_fract_y
_atom_site_fract_z
Sm1 0.0000 0.0000 0.0000
Cu1 0.0000 0.0000 0.7006
Ir1 0.0000 0.0000 0.3156
```

---

7.
First-principles (PBE-GGA) data for a relaxed structure of SmCuIr, as listed in Alexandria.

Computed properties:
Energy above the most stable polymorph in this dataset ... 116 meV per atom
ΔE_f ... -8.971 kcal/mol of atoms
Mass density ... 11.3 g cm⁻³
Spin magnetization ... 0.000 μB per cell
Total DFT energy (no corrections) ... -6.2811 eV/atom
DOS(E_F) ... 2.42 states/eV/cell

CIF file:
```
data_SmCuIr
_chemical_formula_sum 'Sm1 Cu1 Ir1'
_symmetry_space_group_name_H-M 'P -6 m 2'
_symmetry_Int_Tables_number 187
_symmetry_space_group_name_Hall 'P -6 2'
_cell_length_a 4.2917
_cell_length_b 4.2917
_cell_length_c 3.7493
_cell_angle_alpha 90.00
_cell_angle_beta 90.00
_cell_angle_gamma 120.00
loop_
_atom_site_label
_atom_site_fract_x
_atom_site_fract_y
_atom_site_fract_z
Sm1 0.0000 0.0000 0.0000
Cu1 0.3333 0.6667 0.5000
Ir1 0.6667 0.3333 0.5000
```

---

8.
First-principles (PBE-GGA) data for a relaxed structure of Sm2CuIr, as listed in Alexandria.

Computed properties:
ΔE_f ... -11.036 kcal/mol of atoms
Mass density ... 10.6 g cm⁻³
Spin magnetization ... 0.000 μB per cell
Total DFT energy (no corrections) ... -6.0774 eV/atom
DOS(E_F) ... 5.05 states/eV/cell

CIF file:
```
data_Sm2CuIr
_chemical_formula_sum 'Sm4 Cu2 Ir2'
_symmetry_space_group_name_H-M 'C 1 2/m 1'
_symmetry_Int_Tables_number 12
_cell_length_a 7.0124
_cell_length_b 7.0598
_cell_length_c 4.9653
_cell_angle_alpha 90.00
_cell_angle_beta 134.74
_cell_angle_gamma 90.00
loop_
_symmetry_equiv_pos_as_xyz
'x,y,z'
'-x,-y,-z'
'-x,y,-z'
'x,-y,z'
'x+1/2,y+1/2,z'
'-x+1/2,-y+1/2,-z'
'-x+1/2,y+1/2,-z'
'x+1/2,-y+1/2,z'
loop_
_atom_site_label
_atom_site_fract_x
_atom_site_fract_y
_atom_site_fract_z
Sm1 0.0000 0.2499 0.0000
Cu1 0.0000 0.0000 0.5000
Ir1 0.0000 0.5000 0.5000
```